This record from OQMD describes crystalline LiHfZrCo at its relaxed geometry. The functional is PBE-GGA.

Lattice parameters (Å, degrees): 4.516 4.516 4.516 60.00 60.00 60.00
Fractional coordinates of all 4 atoms:
Li: 0.750 0.750 0.750
Hf: 0.250 0.250 0.250
Co: 0.500 0.500 0.500
Zr: 0.000 0.000 0.000

Results
The value obtained for the polymorph energy (0 for the lowest one) is 335 meV/atom. Its space group is F-43m, No. 216.

This record from OQMD describes crystalline Tm3Mg3Cd2In at its relaxed geometry. The functional is PBE-GGA.

Lattice parameters (Å, degrees): 7.467 7.467 4.569 90.00 90.00 120.00
Fractional coordinates of all 9 atoms:
Tm: 0.572 0.000 0.000
Cd: 0.333 0.667 0.500
In: 0.000 0.000 0.000
Mg: 0.756 0.756 0.500
Cd: 0.667 0.333 0.500
Tm: 0.000 0.572 0.000
Mg: 0.244 0.000 0.500
Mg: 0.000 0.244 0.500
Tm: 0.428 0.428 0.000

Results
The value obtained for the total energy is -2.758 eV per atom. Its space group is P-62m, No. 189.

Across the entries above, magnetic moment takes the values 0.0, 0.0 Bohr magnetons per cell, respectively.